A plane-wave DFT calculation with PBE was carried out for an optimized crystal structure of La2YRu2.

Calculated values
Energy relative to the elements (eV per atom): 0.0741

Lattice parameters (Å, degrees): 4.687 4.687 6.707 69.55 69.55 90.00
Fractional coordinates of all 5 atoms:
La 0.750 0.250 0.500
La 0.250 0.750 0.500
Ru 0.608 0.608 0.783
Ru 0.392 0.392 0.217
Y 0.000 0.000 0.000